Entry 1:
# Sc2TaIn | Alexandria | GGA-PBEsol | optimized geometry
# **Crystal system**: tetragonal
# **DFT total energy**: -7.2645 eV/atom
# **Magnetic moment**: 0.00 μB per cell
# **Energy of formation from the pure elements**: -0.08 eV per atom
data_Sc2TaIn
_chemical_formula_sum 'Sc4 Ta2 In2'
_cell_length_a 4.235
_cell_length_b 4.235
_cell_length_c 8.980
_cell_angle_alpha 90.00
_cell_angle_beta 90.00
_cell_angle_gamma 90.00
_space_group_name_H-M_alt 'I -4 m 2'
_space_group_IT_number 119
_space_group_name_Hall 'I -4 -2'
loop_
_atom_site_label
_atom_site_fract_x
_atom_site_fract_y
_atom_site_fract_z
Sc1 0.000 0.000 0.000
Sc2 0.000 0.500 0.250
Ta1 0.000 0.000 0.500
In1 0.000 0.500 0.750

Entry 2:
# ScTaIn2 | Alexandria | GGA-PBEsol | optimized geometry
# **Crystal system**: cubic
# **DFT total energy**: -6.2253 eV/atom
# **Magnetic moment**: 0.99 μB per cell
# **Energy of formation from the pure elements**: 0.06 eV per atom
data_ScTaIn2
_chemical_formula_sum 'Sc4 Ta4 In8'
_cell_length_a 6.838
_cell_length_b 6.838
_cell_length_c 6.838
_cell_angle_alpha 90.00
_cell_angle_beta 90.00
_cell_angle_gamma 90.00
_space_group_name_H-M_alt 'F m -3 m'
_space_group_IT_number 225
_space_group_name_Hall '-F 4 2 3'
loop_
_atom_site_label
_atom_site_fract_x
_atom_site_fract_y
_atom_site_fract_z
Sc1 0.000 0.000 0.000
Ta1 0.000 0.000 0.500
In1 0.250 0.250 0.250

Entry 3:
# ScTa2TlIn | Alexandria | GGA-PBEsol | optimized geometry
# **Crystal system**: tetragonal
# **DFT total energy**: -5.9071 eV/atom
# **Magnetic moment**: 0.00 μB per cell
# **Energy of formation from the pure elements**: 1.56 eV per atom
data_ScTa2TlIn
_chemical_formula_sum 'Sc1 Ta2 Tl1 In1'
_cell_length_a 4.792
_cell_length_b 4.792
_cell_length_c 5.266
_cell_angle_alpha 90.00
_cell_angle_beta 90.00
_cell_angle_gamma 90.00
_space_group_name_H-M_alt 'P 4/m m m'
_space_group_IT_number 123
_space_group_name_Hall '-P 4 2'
loop_
_atom_site_label
_atom_site_fract_x
_atom_site_fract_y
_atom_site_fract_z
Sc1 0.000 0.000 0.000
Ta1 0.000 0.500 0.000
Tl1 0.000 0.000 0.500
In1 0.500 0.500 0.500

Entry 4:
# ScInTc2 | Alexandria | GGA-PBEsol | optimized geometry
# **Crystal system**: tetragonal
# **DFT total energy**: -7.8643 eV/atom
# **Magnetic moment**: 0.00 μB per cell
# **ΔE to the lowest computed polymorph**: 357.0 meV per atom
# **Energy of formation from the pure elements**: 0.17 eV per atom
data_ScInTc2
_chemical_formula_sum 'Sc1 In1 Tc2'
_cell_length_a 3.366
_cell_length_b 3.366
_cell_length_c 5.859
_cell_angle_alpha 90.00
_cell_angle_beta 90.00
_cell_angle_gamma 90.00
_space_group_name_H-M_alt 'P 4/m m m'
_space_group_IT_number 123
_space_group_name_Hall '-P 4 2'
loop_
_atom_site_label
_atom_site_fract_x
_atom_site_fract_y
_atom_site_fract_z
Sc1 0.000 0.000 0.000
In1 0.000 0.000 0.500
Tc1 0.500 0.500 0.238

Entry 5:
# ScInTc2 | Alexandria | GGA-PBEsol | optimized geometry
# **Crystal system**: tetragonal
# **DFT total energy**: -8.2214 eV/atom
# **Magnetic moment**: 0.00 μB per cell
# **ΔE to the lowest computed polymorph**: 0.0 meV per atom
# **Energy of formation from the pure elements**: -0.19 eV per atom
data_ScInTc2
_chemical_formula_sum 'Sc1 In1 Tc2'
_cell_length_a 2.978
_cell_length_b 2.978
_cell_length_c 7.858
_cell_angle_alpha 90.00
_cell_angle_beta 90.00
_cell_angle_gamma 90.00
_space_group_name_H-M_alt 'P 4 m m'
_space_group_IT_number 99
loop_
_space_group_symop_operation_xyz
'x,y,z'
'-y,x,z'
'-x,-y,z'
'y,-x,z'
'-x,y,z'
'y,x,z'
'x,-y,z'
'-y,-x,z'
loop_
_atom_site_label
_atom_site_fract_x
_atom_site_fract_y
_atom_site_fract_z
Sc1 0.000 0.000 0.000
In1 0.500 0.500 0.690
Tc1 0.000 0.000 0.426
Tc2 0.500 0.500 0.249

Entry 6:
# ScInTc2 | Alexandria | GGA-PBEsol | optimized geometry
# **Crystal system**: orthorhombic
# **DFT total energy**: -7.8068 eV/atom
# **Magnetic moment**: 0.00 μB per cell
# **ΔE to the lowest computed polymorph**: 414.6 meV per atom
# **Energy of formation from the pure elements**: 0.22 eV per atom
data_ScInTc2
_chemical_formula_sum 'Sc2 In2 Tc4'
_cell_length_a 3.264
_cell_length_b 4.638
_cell_length_c 8.803
_cell_angle_alpha 90.00
_cell_angle_beta 90.00
_cell_angle_gamma 90.00
_space_group_name_H-M_alt 'C m m m'
_space_group_IT_number 65
_space_group_name_Hall '-C 2 2'
loop_
_atom_site_label
_atom_site_fract_x
_atom_site_fract_y
_atom_site_fract_z
Sc1 0.000 0.000 0.000
In1 0.000 0.000 0.500
Tc1 0.000 0.500 0.247

Entry 7:
# ScInTc2 | Alexandria | GGA-PBEsol | optimized geometry
# **Crystal system**: orthorhombic
# **DFT total energy**: -7.8590 eV/atom
# **Magnetic moment**: 0.00 μB per cell
# **ΔE to the lowest computed polymorph**: 362.4 meV per atom
# **Energy of formation from the pure elements**: 0.17 eV per atom
data_ScInTc2
_chemical_formula_sum 'Sc1 In1 Tc2'
_cell_length_a 3.004
_cell_length_b 4.083
_cell_length_c 5.672
_cell_angle_alpha 90.00
_cell_angle_beta 90.00
_cell_angle_gamma 90.00
_space_group_name_H-M_alt 'P m m m'
_space_group_IT_number 47
loop_
_space_group_symop_operation_xyz
'x,y,z'
'-x,-y,-z'
'-x,-y,z'
'x,y,-z'
'x,-y,-z'
'-x,y,z'
'-x,y,-z'
'x,-y,z'
loop_
_atom_site_label
_atom_site_fract_x
_atom_site_fract_y
_atom_site_fract_z
Sc1 0.000 0.000 0.000
In1 0.000 0.000 0.500
Tc1 0.500 0.500 0.206

Entry 8:
# ScIn2Te | Alexandria | GGA-PBEsol | optimized geometry
# **Crystal system**: orthorhombic
# **DFT total energy**: -4.2991 eV/atom
# **Magnetic moment**: 0.00 μB per cell
# **Formation energy from raw total energies**: -0.27 eV/atom
data_ScIn2Te
_chemical_formula_sum 'Sc1 In2 Te1'
_cell_length_a 3.910
_cell_length_b 4.249
_cell_length_c 5.879
_cell_angle_alpha 90.00
_cell_angle_beta 90.00
_cell_angle_gamma 90.00
_space_group_name_H-M_alt 'P m m m'
_space_group_IT_number 47
loop_
_space_group_symop_operation_xyz
'x,y,z'
'-x,-y,-z'
'-x,-y,z'
'x,y,-z'
'x,-y,-z'
'-x,y,z'
'-x,y,-z'
'x,-y,z'
loop_
_atom_site_label
_atom_site_fract_x
_atom_site_fract_y
_atom_site_fract_z
Sc1 0.000 0.000 0.000
In1 0.500 0.500 0.242
Te1 0.000 0.000 0.500